Pu2Sn3Ge3 after structural relaxation. Source: the Alexandria database, functional GGA-PBE.

Unit cell a=4.2964 b=4.5129 c=9.2584 alpha=90.00 beta=90.00 gamma=90.00
Space group Pmmm (No. 47)
Inequivalent atoms, fractional coordinates:
Pu 0.0000 0.0000 0.2398 [2 per cell]
Sn 0.0000 0.5000 0.0000 [1 per cell]
Sn 0.0000 0.5000 0.5000 [1 per cell]
Sn 0.5000 0.0000 0.5000 [1 per cell]
Ge 0.5000 0.0000 0.0000 [1 per cell]
Ge 0.5000 0.5000 0.2416 [2 per cell]

Properties
DFT total energy = -7.146 eV per atom

***

Ca3Er2HfAs6 after structural relaxation. Source: the Alexandria database, functional GGA-PBE.

Unit cell a=7.0572 b=12.2211 c=7.2578 alpha=90.00 beta=108.92 gamma=90.00
Space group C2/m (No. 12)
Inequivalent atoms, fractional coordinates:
Ca 0.0000 0.0000 0.0000 [2 per cell]
Ca 0.0000 0.3296 0.0000 [4 per cell]
Er 0.0000 0.1661 0.5000 [4 per cell]
Hf 0.0000 0.5000 0.5000 [2 per cell]
As 0.2366 0.3396 0.7293 [8 per cell]
As 0.2427 0.5000 0.2691 [4 per cell]

Properties
DFT total energy = -5.604 eV per atom

***

TmInPd2 after structural relaxation. Source: the Alexandria database, functional GGA-PBE.

Unit cell a=4.6947 b=4.6947 c=3.4975 alpha=90.00 beta=90.00 gamma=90.00
Space group P4/mmm (No. 123)
Inequivalent atoms, fractional coordinates:
Tm 0.0000 0.0000 0.0000 [1 per cell]
In 0.5000 0.5000 0.0000 [1 per cell]
Pd 0.0000 0.5000 0.5000 [2 per cell]

Properties
DFT total energy = -5.152 eV per atom

***

TlTe2Cl after structural relaxation. Source: the Alexandria database, functional GGA-PBE.

Unit cell a=4.1289 b=6.6106 c=10.8558 alpha=90.00 beta=90.00 gamma=90.00
Space group Imm2 (No. 44)
Inequivalent atoms, fractional coordinates:
Tl 0.0000 0.0000 0.0000 [2 per cell]
Te 0.0000 0.0000 0.4092 [2 per cell]
Te 0.0000 0.5000 0.0920 [2 per cell]
Cl 0.0000 0.5000 0.7066 [2 per cell]

Properties
Formation energy without anion corrections = -0.352 eV per atom
DFT total energy = -2.976 eV per atom

***

Among the records above, which one has the highest DFT total energy?
TlTe2Cl

***

Copy entry 4 word for word.
TlTe2Cl after structural relaxation. Source: the Alexandria database, functional GGA-PBE.

Unit cell a=4.1289 b=6.6106 c=10.8558 alpha=90.00 beta=90.00 gamma=90.00
Space group Imm2 (No. 44)
Inequivalent atoms, fractional coordinates:
Tl 0.0000 0.0000 0.0000 [2 per cell]
Te 0.0000 0.0000 0.4092 [2 per cell]
Te 0.0000 0.5000 0.0920 [2 per cell]
Cl 0.0000 0.5000 0.7066 [2 per cell]

Properties
Formation energy without anion corrections = -0.352 eV per atom
DFT total energy = -2.976 eV per atom

***

DFT total energy of number 3 (TmInPd2)?
-5.152 eV per atom